No. 1
Compound: Zr2Cu3Mo4N3
Source: the Open Quantum Materials Database
Functional: PBE-GGA
Structure: relaxed

Geometry as CIF:
```
data_Zr2Cu3Mo4N3
_chemical_formula_sum 'Zr4 Cu6 Mo8 N6'
_cell_length_a 5.371
_cell_length_b 5.371
_cell_length_c 13.227
_cell_angle_alpha 101.58
_cell_angle_beta 101.58
_cell_angle_gamma 60.24
_symmetry_space_group_name_H-M 'P 1'
_symmetry_Int_Tables_number 1
loop_
_symmetry_equiv_pos_as_xyz
'x,y,z'
loop_
_atom_site_label
_atom_site_fract_x
_atom_site_fract_y
_atom_site_fract_z
Zr1 0.039 0.870 0.617
Zr2 0.130 0.961 0.883
Zr3 0.870 0.039 0.117
Zr4 0.961 0.130 0.383
Cu1 0.084 0.396 0.749
Cu2 0.396 0.084 0.249
Cu3 0.435 0.565 0.250
Cu4 0.565 0.435 0.750
Cu5 0.604 0.916 0.751
Cu6 0.916 0.604 0.251
Mo1 0.194 0.367 0.079
Mo2 0.315 0.465 0.421
Mo3 0.367 0.194 0.579
Mo4 0.465 0.315 0.921
Mo5 0.535 0.685 0.079
Mo6 0.633 0.806 0.421
Mo7 0.685 0.535 0.579
Mo8 0.806 0.633 0.921
N1 0.000 0.500 0.500
N2 0.150 0.700 0.000
N3 0.300 0.850 0.500
N4 0.500 0.000 0.000
N5 0.700 0.150 0.500
N6 0.850 0.300 0.000
```

Computed properties:
- SG = C2/c

=====

No. 2
Compound: Li2Nb2AlSiOs2
Source: the Open Quantum Materials Database
Functional: PBE-GGA
Structure: relaxed

Geometry as CIF:
```
data_Li2Nb2AlSiOs2
_chemical_formula_sum 'Li2 Nb2 Al1 Si1 Os2'
_cell_length_a 4.329
_cell_length_b 4.329
_cell_length_c 6.120
_cell_angle_alpha 90.00
_cell_angle_beta 90.00
_cell_angle_gamma 90.00
_symmetry_space_group_name_H-M 'P 1'
_symmetry_Int_Tables_number 1
loop_
_symmetry_equiv_pos_as_xyz
'x,y,z'
loop_
_atom_site_label
_atom_site_fract_x
_atom_site_fract_y
_atom_site_fract_z
Li1 0.000 0.500 0.249
Li2 0.500 0.000 0.751
Nb1 0.000 0.000 0.000
Nb2 0.500 0.500 0.500
Al1 0.000 0.000 0.500
Si1 0.500 0.500 0.000
Os1 0.000 0.500 0.755
Os2 0.500 0.000 0.245
```

Computed properties:
- SG = P-4m2

=====

No. 3
Compound: Hf4Sc2Cu3N3
Source: the Open Quantum Materials Database
Functional: PBE-GGA
Structure: relaxed

Geometry as CIF:
```
data_Hf4Sc2Cu3N3
_chemical_formula_sum 'Hf8 Sc4 Cu6 N6'
_cell_length_a 5.523
_cell_length_b 5.523
_cell_length_c 14.096
_cell_angle_alpha 101.58
_cell_angle_beta 101.58
_cell_angle_gamma 60.02
_symmetry_space_group_name_H-M 'P 1'
_symmetry_Int_Tables_number 1
loop_
_symmetry_equiv_pos_as_xyz
'x,y,z'
loop_
_atom_site_label
_atom_site_fract_x
_atom_site_fract_y
_atom_site_fract_z
Hf1 0.023 0.201 0.087
Hf2 0.142 0.305 0.413
Hf3 0.201 0.023 0.587
Hf4 0.305 0.142 0.913
Hf5 0.695 0.858 0.087
Hf6 0.799 0.977 0.413
Hf7 0.858 0.695 0.587
Hf8 0.977 0.799 0.913
Sc1 0.373 0.537 0.107
Sc2 0.463 0.627 0.393
Sc3 0.537 0.373 0.607
Sc4 0.627 0.463 0.893
Cu1 0.064 0.936 0.750
Cu2 0.112 0.415 0.750
Cu3 0.415 0.112 0.250
Cu4 0.585 0.888 0.750
Cu5 0.888 0.585 0.250
Cu6 0.936 0.064 0.250
N1 0.000 0.500 0.000
N2 0.168 0.666 0.500
N3 0.334 0.832 0.000
N4 0.500 0.000 0.500
N5 0.666 0.168 0.000
N6 0.832 0.334 0.500
```

Computed properties:
- SG = C2/c

=====

No. 4
Compound: DyCdAsO
Source: the Open Quantum Materials Database
Functional: PBE-GGA
Structure: relaxed

Geometry as CIF:
```
data_DyCdAsO
_chemical_formula_sum 'Dy2 Cd2 As2 O2'
_cell_length_a 4.480
_cell_length_b 6.156
_cell_length_c 6.138
_cell_angle_alpha 90.00
_cell_angle_beta 90.00
_cell_angle_gamma 90.00
_symmetry_space_group_name_H-M 'P 1'
_symmetry_Int_Tables_number 1
loop_
_symmetry_equiv_pos_as_xyz
'x,y,z'
loop_
_atom_site_label
_atom_site_fract_x
_atom_site_fract_y
_atom_site_fract_z
Dy1 0.000 0.237 0.000
Dy2 0.000 0.763 0.500
Cd1 0.500 0.362 0.628
Cd2 0.500 0.638 0.128
As1 0.000 0.234 0.473
As2 0.000 0.766 0.973
O1 0.500 0.283 0.993
O2 0.500 0.717 0.493
```

Computed properties:
- SG = Pmc2_1

=====

No. 5
Compound: Ga2AgBr6Cl2
Source: the Open Quantum Materials Database
Functional: PBE-GGA
Structure: relaxed

Geometry as CIF:
```
data_Ga2AgBr6Cl2
_chemical_formula_sum 'Ga2 Ag1 Br6 Cl2'
_cell_length_a 7.820
_cell_length_b 7.820
_cell_length_c 7.257
_cell_angle_alpha 93.43
_cell_angle_beta 93.43
_cell_angle_gamma 66.51
_symmetry_space_group_name_H-M 'P 1'
_symmetry_Int_Tables_number 1
loop_
_symmetry_equiv_pos_as_xyz
'x,y,z'
loop_
_atom_site_label
_atom_site_fract_x
_atom_site_fract_y
_atom_site_fract_z
Ga1 0.211 0.211 0.334
Ga2 0.789 0.789 0.666
Ag1 0.000 0.000 0.000
Br1 0.089 0.669 0.836
Br2 0.331 0.911 0.164
Br3 0.383 0.383 0.295
Br4 0.617 0.617 0.705
Br5 0.669 0.089 0.836
Br6 0.911 0.331 0.164
Cl1 0.171 0.171 0.620
Cl2 0.829 0.829 0.380
```

Computed properties:
- SG = C2/m

=====

Values of total energy, in order: -8.4181, -7.3646, -8.2898, -5.2420, -2.7716, all in eV per atom.
Values of calculated density, in order: 8.24, 9.20, 9.50, 7.18, 3.26, all in g cm⁻³.